! Pm2NdDy3As6, relaxed, DFT GGA-PBE; values from VASP
! **D(E_F)**: 1.9 states/eV per cell
! **DFT total energy**: -74.271 eV/cell
! **Spin magnetization**: 0.000 μB/cell
&SYSTEM
  ibrav = 0, nat = 12, ntyp = 4
/
ATOMIC_SPECIES
Pm 145.00 Pm.upf
Nd 144.24 Nd.upf
Dy 162.50 Dy.upf
As 74.92 As.upf
CELL_PARAMETERS angstrom
9.117 -2.093 0.000
9.117 2.093 0.000
-1.913 0.000 8.144
ATOMIC_POSITIONS crystal
Pm 0.167 0.167 0.333
Pm 0.833 0.833 0.667
Nd 0.500 0.500 0.000
Dy 0.167 0.167 0.833
Dy 0.500 0.500 0.500
Dy 0.833 0.833 0.167
As 0.002 0.002 0.744
As 0.331 0.331 0.921
As 0.335 0.335 0.413
As 0.665 0.665 0.587
As 0.669 0.669 0.079
As 0.998 0.998 0.256

! CeTh3Al8, relaxed, DFT GGA-PBE; values from VASP
! **D(E_F)**: 13.9 states/eV per cell
! **DFT total energy**: -63.194 eV/cell
! **Spin magnetization**: 0.823 μB/cell
&SYSTEM
  ibrav = 0, nat = 12, ntyp = 3
/
ATOMIC_SPECIES
Ce 140.12 Ce.upf
Th 232.04 Th.upf
Al 26.98 Al.upf
CELL_PARAMETERS angstrom
2.842 1.641 9.252
-2.842 1.641 9.252
0.000 -3.281 9.252
ATOMIC_POSITIONS crystal
Ce 0.000 0.000 0.000
Th 0.374 0.374 0.374
Th 0.500 0.500 0.500
Th 0.877 0.877 0.877
Al 0.188 0.188 0.188
Al 0.438 0.438 0.938
Al 0.438 0.937 0.937
Al 0.438 0.938 0.438
Al 0.687 0.687 0.687
Al 0.937 0.438 0.937
Al 0.937 0.937 0.438
Al 0.938 0.438 0.438

no.,calculated density (g/cm³)
1,7.32
2,6.75